Computed, not measured: a relaxed Ag2W2O7 crystal at the GGA+U level of DFT.

Cell: 5.9935 5.9935 6.1496 Å, 93.21 93.21 115.61°
With the nearest neighbours (Å) after each atom.
Fractional coordinates of all 11 atoms:
Ag 0.2072 0.7928 0.0000  4 O 2.37-2.39
Ag 0.7928 0.2072 0.0000  4 O 2.37-2.39
W 0.2324 0.2324 0.6191  4 O 1.80-1.93
W 0.7676 0.7676 0.3809  4 O 1.80-1.93
O 0.0838 0.0838 0.3292  2 W 1.93-2.08
O 0.1208 0.4171 0.7809  1 W 1.80
O 0.4171 0.1208 0.7809  1 W 1.80
O 0.5000 0.5000 0.5000  2 W 1.93
O 0.5829 0.8792 0.2191  1 W 1.80
O 0.8792 0.5829 0.2191  1 W 1.80
O 0.9162 0.9162 0.6708  2 W 1.93-2.08

Summary:
The magnetic moment comes out at 0.0 μB/f.u. The crystal system is monoclinic. For the excess energy over the best structure of this formula in the dataset, the calculation gives 55.5 meV per atom. As for the mass density: 5.8 g/cm3.